1.
Material: InIrPdO6
Method: DFT, PBE-GGA
State: relaxed

Lattice parameters (Å, degrees): 5.2377 5.2377 9.1608 90.00 90.00 120.00
Last column: nearest neighbours and their distance in Å.
Space group P-31c (No. 163)
Unique sites:
In  0.0000  0.0000  0.0000  6 O 2.23
Ir  0.3333  0.6667  0.2500  6 O 1.98
Pd  0.3333  0.6667  0.7500  6 O 2.03
O  0.0079  0.3602  0.1324  1 Ir 1.98, 1 Pd 2.03

Summary:
As for the uncorrected formation energy: -753 meV per atom. The value obtained for the total DFT energy (no corrections) is -106.6 eV/cell.

***

2.
Material: YLuTe3
Method: DFT, PBE-GGA
State: relaxed

Lattice parameters (Å, degrees): 4.9396 4.9396 18.0992 90.00 90.00 120.00
Last column: nearest neighbours and their distance in Å.
Space group P6_3/mmc (No. 194)
Unique sites:
Y  0.3333  0.6667  0.2500  5 Te 2.85-3.12
Lu  0.0000  0.0000  0.0000  6 Te 3.18
Te  0.0000  0.0000  0.2500  3 Y 2.85
Te  0.3333  0.6667  0.0776  1 Y 3.12, 3 Lu 3.18

Summary:
As for the uncorrected formation energy: -1136 meV per atom. The value obtained for the total DFT energy (no corrections) is -52.2 eV/cell.

***

3.
Material: PmY2In3Se6
Method: DFT, PBE-GGA
State: relaxed

Lattice parameters (Å, degrees): 7.2560 12.5643 8.1019 90.00 107.36 90.00
Last column: nearest neighbours and their distance in Å.
Space group C2/m (No. 12)
Unique sites:
Pm  0.0000  0.0000  0.0000  6 Se 2.95-2.96
Y  0.0000  0.3333  0.0000  6 Se 2.89-2.90
In  0.0000  0.1657  0.5000  6 Se 3.27-3.31
In  0.0000  0.5000  0.5000  6 Se 3.27-3.31
Se  0.2303  0.5000  0.2094  2 Y 2.89, 1 Pm 2.95
Se  0.2401  0.1698  0.2112  2 Y 2.90, 1 Pm 2.96

Summary:
As for the uncorrected formation energy: -1304 meV per atom. The value obtained for the total DFT energy (no corrections) is -124.9 eV/cell.

***

4.
Material: PmTmCdNi
Method: DFT, PBE-GGA
State: relaxed

Lattice parameters (Å, degrees): 7.1964 7.1964 7.1964 90.00 90.00 90.00
Last column: nearest neighbours and their distance in Å.
Space group F-43m (No. 216)
Unique sites:
Pm  0.0000  0.0000  0.0000  4 Cd 3.12, 4 Ni 3.12
Tm  0.0000  0.0000  0.5000  4 Ni 3.12, 4 Cd 3.12
Cd  0.2500  0.2500  0.2500  4 Tm 3.12, 4 Pm 3.12
Ni  0.2500  0.2500  0.7500  4 Pm 3.12, 4 Tm 3.12

Summary:
The value obtained for the total DFT energy (no corrections) is -67.4 eV/cell.

***

5.
Material: CuMo2Ru
Method: DFT, PBE-GGA
State: relaxed

Lattice parameters (Å, degrees): 2.7675 4.3851 4.7641 90.00 90.65 90.00
Last column: nearest neighbours and their distance in Å.
Space group Pm (No. 6)
Unique sites:
Cu  0.0000  0.0000  0.0000  8 Mo 2.69-2.78, 2 Ru 2.69, 2 Cu 2.77
Mo  0.4904  0.0000  0.4992  4 Ru 2.71-2.73, 4 Cu 2.72-2.78, 4 Mo 2.73-2.77
Mo  0.5105  0.5000  0.1571  4 Ru 2.69-2.85, 4 Cu 2.69-2.71, 4 Mo 2.73-2.77
Ru  0.9992  0.5000  0.6729  8 Mo 2.69-2.85, 2 Cu 2.69, 2 Ru 2.77

Summary:
The value obtained for the total DFT energy (no corrections) is -34.5 eV/cell.

***

6.
Material: TaTeN2
Method: DFT, PBE-GGA
State: relaxed

Lattice parameters (Å, degrees): 3.1991 3.1991 20.3634 90.00 90.00 120.00
Last column: nearest neighbours and their distance in Å.
Space group R-3m (No. 166, hexagonal axes)
Unique sites:
Ta  0.0000  0.0000  0.0000  6 N 2.14
Te  0.0000  0.0000  0.5000  2 N 2.32
N  0.0000  0.0000  0.3861  3 Ta 2.14, 1 Te 2.32

Summary:
As for the uncorrected formation energy: -314 meV per atom. The value obtained for the total DFT energy (no corrections) is -98.7 eV/cell.

***

Q: What is the total DFT energy (no corrections) in the third record?
A: -124.9 eV/cell

***

Q: Which formula does entry 4 have?
A: PmTmCdNi

***

Q: Which of these has the highest total DFT energy (no corrections)?
A: CuMo2Ru

***

Please write out number 4 again, unchanged.
Material: PmTmCdNi
Method: DFT, PBE-GGA
State: relaxed

Lattice parameters (Å, degrees): 7.1964 7.1964 7.1964 90.00 90.00 90.00
Last column: nearest neighbours and their distance in Å.
Space group F-43m (No. 216)
Unique sites:
Pm  0.0000  0.0000  0.0000  4 Cd 3.12, 4 Ni 3.12
Tm  0.0000  0.0000  0.5000  4 Ni 3.12, 4 Cd 3.12
Cd  0.2500  0.2500  0.2500  4 Tm 3.12, 4 Pm 3.12
Ni  0.2500  0.2500  0.7500  4 Pm 3.12, 4 Tm 3.12

Summary:
The value obtained for the total DFT energy (no corrections) is -67.4 eV/cell.